# 1
{"formula": "CaPm3Bi2", "functional": "PBE", "state": "relaxed", "lattice": [[-0.4381, 3.2916, -3.0880], [-5.8559, -7.9638, -4.3288], [-3.2588, 6.4488, 7.3363]], "species": ["Pm", "Pm", "Pm", "Pm", "Pm", "Pm", "Bi", "Bi", "Bi", "Bi", "Ca", "Ca"], "frac_coords": [[0.0559, 0.1117, 0.4413], [0.6467, 0.2934, 0.8177], [0.9441, 0.8883, 0.5587], [0.3107, 0.6213, 0.5082], [0.6893, 0.3787, 0.4918], [0.3533, 0.7066, 0.1823], [0.2483, 0.4966, 0.7795], [0.4947, 0.9893, 0.8251], [0.7517, 0.5034, 0.2205], [0.5053, 0.0107, 0.1749], [0.1091, 0.2182, 0.1101], [0.8909, 0.7818, 0.8899]], "e_form_ev_per_atom": -0.538, "magmom_total_mub_per_fu": 0.32, "space_group": "C2/m"}

***

# 2
{"formula": "CaPmBi", "functional": "PBE", "state": "relaxed", "lattice": [[-4.1437, 1.7667, -3.4032], [-2.7549, -6.0972, 0.1891], [-0.5712, 0.4318, 5.6024]], "species": ["Ca", "Ca", "Bi", "Bi", "Pm", "Pm"], "frac_coords": [[0.6667, 0.2500, 0.8334], [0.3333, 0.7500, 0.1666], [0.6666, 0.7500, 0.8332], [0.3334, 0.2500, 0.1668], [0.0000, 0.0000, 0.5000], [0.0000, 0.5000, 0.5000]], "e_form_ev_per_atom": -0.559, "magmom_total_mub_per_fu": 0.64, "space_group": "P6_3/mmc"}